Entry 1:
Computed, not measured: a geometry-optimized Hg2Ir3 structure at the GGA-PBE level of DFT.

POSCAR file:
```
Hg2Ir3
1.0
1.451 0.838 11.583
-1.451 0.838 11.583
0.000 -1.675 11.583
Hg Ir
2 3
direct
0.099 0.099 0.099
0.901 0.901 0.901
0.304 0.304 0.304
0.500 0.500 0.500
0.696 0.696 0.696
```

Results
Space-group type: R-3m, No. 166
DOS at the Fermi energy (states/eV/cell): 6.951
Raw total energy (eV per atom): -4.96
DFT formation energy (eV per atom): 0.480
Theoretical density (Mg/m³): 19.22

Entry 2:
Computed, not measured: a geometry-optimized Tb3HfTl3Te8 structure at the GGA-PBE level of DFT.

POSCAR file:
```
Tb3HfTl3Te8
1.0
4.364 2.519 8.310
-4.364 2.519 8.310
0.000 -5.039 8.310
Tb Hf Tl Te
3 1 3 8
direct
0.000 0.500 0.500
0.500 0.000 0.500
0.500 0.500 0.000
0.000 0.000 0.000
0.000 0.000 0.500
0.000 0.500 0.000
0.500 0.000 0.000
0.227 0.227 0.752
0.227 0.752 0.227
0.248 0.773 0.773
0.261 0.261 0.261
0.739 0.739 0.739
0.752 0.227 0.227
0.773 0.248 0.773
0.773 0.773 0.248
```

Results
Space-group type: R-3m, No. 166
DOS at the Fermi energy (states/eV/cell): 0.043
Raw total energy (eV per atom): -4.74
Formation energy without anion corrections (eV per atom): -1.00
Theoretical density (Mg/m³): 6.94